Record 1
Material: Li4NbFe3O8
Method: DFT, GGA-PBEsol
State: relaxed

Summary:
The space-group type is No. 1. The calculation puts the total energy at -7.2464 eV/atom. The magnetic moment comes out at 0.191 μB/atom. Its energy above the most stable polymorph in this dataset is 0 meV/atom. The volume comes out at 176 Å³ per cell.

Cell: 5.077 5.408 6.407 Å, 92.22 92.35 91.04°
Atoms (fractional coordinates):
Li 0.000 0.000 0.000
Li 0.001 0.526 0.734
Li 0.472 0.852 0.261
Li 0.478 0.370 0.499
Nb 0.512 0.356 0.998
Fe 0.521 0.906 0.737
Fe 0.946 0.523 0.254
Fe 0.983 0.020 0.495
O 0.344 0.507 0.236
O 0.348 0.025 0.508
O 0.381 0.023 0.009
O 0.392 0.542 0.770
O 0.865 0.850 0.250
O 0.871 0.343 0.481
O 0.875 0.861 0.730
O 0.891 0.347 0.980

---

Record 2
Material: MgZrPb2
Method: DFT, GGA-PBEsol
State: relaxed

Summary:
The space-group type is No. 119. The calculation puts the total energy at -4.8521 eV/atom. The magnetic moment comes out at 0.000 μB/atom. For the density of states at the Fermi level, the calculation gives 3.42 states/eV per cell. The volume comes out at 186 Å³ per cell. The energy of formation is -151 meV per atom.

Cell: 4.278 4.278 10.165 Å, 90.00 90.00 90.00°
Atoms (fractional coordinates):
Mg 0.000 0.000 0.000
Mg 0.500 0.500 0.500
Zr 0.000 0.500 0.750
Zr 0.500 0.000 0.250
Pb 0.000 0.000 0.500
Pb 0.000 0.500 0.250
Pb 0.500 0.000 0.750
Pb 0.500 0.500 0.000

---

Record 3
Material: Sr2Bi2W
Method: DFT, GGA-PBEsol
State: relaxed

Summary:
The space-group type is No. 139. The calculation puts the total energy at -4.5698 eV/atom. The magnetic moment comes out at 0.541 μB/atom. For the density of states at the Fermi level, the calculation gives 7.57 states/eV per cell. The volume comes out at 374 Å³ per cell. The energy of formation is 642 meV per atom.

Cell: 6.599 6.599 8.580 Å, 90.00 90.00 90.00°
Atoms (fractional coordinates):
Sr 0.000 0.500 0.250
Sr 0.000 0.500 0.750
Sr 0.500 0.000 0.250
Sr 0.500 0.000 0.750
Bi 0.000 0.000 0.187
Bi 0.000 0.000 0.813
Bi 0.500 0.500 0.313
Bi 0.500 0.500 0.687
W 0.000 0.000 0.500
W 0.500 0.500 0.000

---

Record 4
Material: Cs4Sb2O5
Method: DFT, GGA-PBEsol
State: relaxed

Summary:
The space-group type is No. 8. The calculation puts the total energy at -5.0657 eV/atom. The magnetic moment comes out at 0.000 μB/atom. For the density of states at the Fermi level, the calculation gives 0.00 states/eV per cell. The volume comes out at 293 Å³ per cell.

Cell: 6.308 6.308 8.128 Å, 97.60 97.60 66.38°
Atoms (fractional coordinates):
Cs 0.000 0.000 0.000
Cs 0.009 0.009 0.510
Cs 0.332 0.332 0.351
Cs 0.665 0.665 0.646
Sb 0.362 0.362 0.838
Sb 0.654 0.654 0.181
O 0.163 0.594 0.692
O 0.365 0.799 0.283
O 0.547 0.547 0.953
O 0.594 0.163 0.692
O 0.799 0.365 0.283

---

Record 5
Material: MgZrBr2
Method: DFT, GGA-PBEsol
State: relaxed

Summary:
The space-group type is No. 123. The calculation puts the total energy at -4.2863 eV/atom. The magnetic moment comes out at 0.000 μB/atom. For the density of states at the Fermi level, the calculation gives 1.82 states/eV per cell. Its energy above the most stable polymorph in this dataset is 0 meV/atom. The volume comes out at 100 Å³ per cell.

Cell: 3.287 3.287 9.285 Å, 90.00 90.00 90.00°
Atoms (fractional coordinates):
Mg 0.000 0.000 0.000
Zr 0.000 0.000 0.500
Br 0.500 0.500 0.326
Br 0.500 0.500 0.674

---

Record 6
Material: KAsAuSe2
Method: DFT, GGA-PBEsol
State: relaxed

Summary:
The space-group type is No. 123. The calculation puts the total energy at -3.4911 eV/atom. The magnetic moment comes out at 0.002 μB/atom. For the density of states at the Fermi level, the calculation gives 3.86 states/eV per cell. The volume comes out at 135 Å³ per cell.

Cell: 5.282 5.282 4.828 Å, 90.00 90.00 90.00°
Atoms (fractional coordinates):
K 0.000 0.000 0.000
As 0.500 0.500 0.000
Au 0.500 0.500 0.500
Se 0.000 0.500 0.500
Se 0.500 0.000 0.500